1.
DFT (PBE-GGA) results for a relaxed Li2HgMo crystal.

```
Li2HgMo
1.0
-3.324 -1.663 -2.670
-0.717 -4.515 -0.218
-3.756 -1.814 1.883
Li Mo Hg
2 1 1
Direct
0.250 0.250 0.250 Li
0.000 0.000 0.000 Li
0.750 0.750 0.750 Mo
0.500 0.500 0.500 Hg
```

Values from the calculation:
Its space group is No. 216. As for the crystal system: cubic. The calculation puts the density at 7.605 g cm⁻³. Its total energy is -3.283 eV/atom. The value obtained for the energy of formation is 0.46 eV/atom.

2.
DFT (PBE-GGA) results for a relaxed Li2HgMo crystal.

```
Li2HgMo
1.0
-0.622 5.259 1.938
-5.092 2.379 0.459
3.802 -3.925 1.393
Li Mo Hg
2 1 1
Direct
0.003 0.003 0.000 Li
0.765 0.265 0.500 Li
0.499 0.499 0.000 Mo
0.234 0.734 0.500 Hg
```

Values from the calculation:
Its space group is No. 44. As for the crystal system: orthorhombic. The calculation puts the density at 7.993 g cm⁻³. Its total energy is -3.349 eV/atom. The value obtained for the energy of formation is 0.39 eV/atom.

3.
DFT (PBE-GGA) results for a relaxed LiHg4Mo crystal.

```
LiHg4Mo
1.0
3.458 -3.608 2.935
-1.668 -5.465 0.971
2.636 -4.367 -2.752
Mo Li Hg
1 1 4
Direct
0.000 0.000 0.000 Mo
0.750 0.750 0.750 Li
0.875 0.375 0.375 Hg
0.375 0.375 0.375 Hg
0.375 0.375 0.875 Hg
0.375 0.875 0.375 Hg
```

Values from the calculation:
Its space group is No. 216. As for the crystal system: cubic. The calculation puts the density at 10.920 g cm⁻³. Its total energy is -1.760 eV/atom. The value obtained for the energy of formation is 0.57 eV/atom.

| no. | DOS(E_F) (states/eV per cell) | total magnetic moment (Bohr magnetons per cell) |
| --- | --- | --- |
| 1 | 3.39 | 2.03 |
| 2 | 3.15 | 0.15 |
| 3 | 3.28 | 4.15 |